Below is a geometry-optimized YCoAgSn structure, with properties calculated at the PBE level.

## Properties
magnetic moment = 0.303 μB/atom
E above lowest polymorph = 141 meV per atom
E_tot = -5.16 eV per atom

Cell: 4.8010 4.8010 4.8010 Å, 60.00 60.00 60.00°
Last column: nearest neighbours and their distance in Å.
Element x y z (fractional)
Y  0.0000  0.0000  0.0000  4 Ag 2.94, 4 Sn 2.94
Co  0.5000  0.5000  0.5000  4 Ag 2.94, 4 Sn 2.94
Ag  0.7500  0.7500  0.7500  4 Y 2.94, 4 Co 2.94
Sn  0.2500  0.2500  0.2500  4 Co 2.94, 4 Y 2.94